# 1
# V2Ni5Pt2

Crystalline V2Ni5Pt2 at its relaxed geometry (PBE, Alexandria via LeMat-Bulk). Values from VASP.

Cell and atoms, written as Quantum ESPRESSO input:
```
&SYSTEM
  ibrav = 0, nat = 9, ntyp = 3
/
ATOMIC_SPECIES
V 50.94 V.upf
Ni 58.69 Ni.upf
Pt 195.08 Pt.upf
CELL_PARAMETERS angstrom
-3.673 -3.840 -2.294
7.003 2.436 -2.279
-3.159 -3.054 4.612
ATOMIC_POSITIONS crystal
V 0.668 0.549 0.315
Ni 0.331 0.763 0.657
Ni 0.000 0.000 0.000
Ni 0.335 0.110 0.674
Ni 0.669 0.237 0.343
Pt 0.005 0.684 0.009
Ni 0.665 0.890 0.326
Pt 0.995 0.316 0.991
V 0.332 0.451 0.685
```

Output
As for the excess energy over the best structure of this formula in the dataset: 0.0000 eV/atom. As for the symmetry: No. 2. For the density of states at the Fermi level, the calculation gives 10.844 states/eV per cell. Its formation energy is -0.26 eV/atom. The calculation puts the mass density at 11.637 Mg/m³.

---

# 2
# Al2SbMo

Crystalline Al2SbMo at its relaxed geometry (PBE, Alexandria via LeMat-Bulk). Values from VASP.

Cell and atoms, written as Quantum ESPRESSO input:
```
&SYSTEM
  ibrav = 0, nat = 8, ntyp = 3
/
ATOMIC_SPECIES
Al 26.98 Al.upf
Sb 121.76 Sb.upf
Mo 95.94 Mo.upf
CELL_PARAMETERS angstrom
7.665 0.000 0.000
0.000 7.665 0.000
3.832 3.832 2.716
ATOMIC_POSITIONS crystal
Al 0.600 0.125 0.250
Sb 0.000 0.000 0.000
Sb 0.750 0.250 0.500
Al 0.150 0.625 0.250
Mo 0.250 0.750 0.500
Al 0.875 0.850 0.750
Mo 0.500 0.500 0.000
Al 0.375 0.400 0.750
```

Output
As for the symmetry: No. 122. For the density of states at the Fermi level, the calculation gives 8.301 states/eV per cell. For the uncorrected formation energy, the calculation gives 0.5510 eV/atom. The calculation puts the mass density at 5.654 Mg/m³.

---

# 3
# Sr2Ag17

Crystalline Sr2Ag17 at its relaxed geometry (PBE, Alexandria via LeMat-Bulk). Values from VASP.

Cell and atoms, written as Quantum ESPRESSO input:
```
&SYSTEM
  ibrav = 0, nat = 19, ntyp = 2
/
ATOMIC_SPECIES
Ag 107.87 Ag.upf
Sr 87.62 Sr.upf
CELL_PARAMETERS angstrom
0.005 5.352 5.102
-7.011 2.187 -0.864
-2.941 -3.919 5.538
ATOMIC_POSITIONS crystal
Ag 0.847 0.347 0.347
Ag 0.902 0.902 0.902
Ag 0.153 0.653 0.653
Ag 0.347 0.347 0.847
Ag 0.298 0.000 0.702
Ag 0.702 0.000 0.298
Ag 0.000 0.298 0.702
Ag 0.347 0.847 0.347
Ag 0.000 0.702 0.298
Sr 0.339 0.339 0.339
Ag 0.098 0.098 0.098
Ag 0.653 0.153 0.653
Ag 0.702 0.298 0.000
Ag 0.000 0.500 0.000
Sr 0.661 0.661 0.661
Ag 0.500 0.000 0.000
Ag 0.298 0.702 0.000
Ag 0.653 0.653 0.153
Ag 0.000 0.000 0.500
```

Output
As for the symmetry: No. 166. For the density of states at the Fermi level, the calculation gives 5.085 states/eV per cell. Its formation energy is -0.09 eV/atom. The calculation puts the mass density at 8.458 Mg/m³.

---

# 4
# Sc2Sn2Cl

Crystalline Sc2Sn2Cl at its relaxed geometry (PBE, Alexandria via LeMat-Bulk). Values from VASP.

Cell and atoms, written as Quantum ESPRESSO input:
```
&SYSTEM
  ibrav = 0, nat = 10, ntyp = 3
/
ATOMIC_SPECIES
Sn 118.71 Sn.upf
Sc 44.96 Sc.upf
Cl 35.45 Cl.upf
CELL_PARAMETERS angstrom
7.090 0.000 0.000
0.000 7.090 0.000
0.000 0.000 4.607
ATOMIC_POSITIONS crystal
Sn 0.354 0.146 0.500
Sn 0.646 0.854 0.500
Sn 0.854 0.354 0.500
Sc 0.664 0.164 0.000
Cl 0.500 0.500 0.000
Sn 0.146 0.646 0.500
Sc 0.336 0.836 0.000
Sc 0.836 0.664 0.000
Cl 0.000 0.000 0.000
Sc 0.164 0.336 0.000
```

Output
As for the symmetry: No. 127. For the density of states at the Fermi level, the calculation gives 7.755 states/eV per cell. For the uncorrected formation energy, the calculation gives -0.7703 eV/atom. The calculation puts the mass density at 5.203 Mg/m³.

---

# 5
# MgZr6Sc8

Crystalline MgZr6Sc8 at its relaxed geometry (PBE, Alexandria via LeMat-Bulk). Values from VASP.

Cell and atoms, written as Quantum ESPRESSO input:
```
&SYSTEM
  ibrav = 0, nat = 15, ntyp = 3
/
ATOMIC_SPECIES
Zr 91.22 Zr.upf
Mg 24.30 Mg.upf
Sc 44.96 Sc.upf
CELL_PARAMETERS angstrom
5.534 0.000 0.000
0.000 7.469 -4.312
0.000 0.000 8.624
ATOMIC_POSITIONS crystal
Zr 0.686 0.636 0.104
Mg 0.500 0.000 0.000
Zr 0.314 0.104 0.468
Zr 0.686 0.896 0.532
Zr 0.314 0.532 0.636
Sc 0.811 0.043 0.275
Sc 0.189 0.957 0.725
Zr 0.686 0.468 0.364
Sc 0.811 0.725 0.768
Sc 0.822 0.333 0.667
Sc 0.189 0.275 0.232
Zr 0.314 0.364 0.896
Sc 0.189 0.768 0.043
Sc 0.178 0.667 0.333
Sc 0.811 0.232 0.957
```

Output
As for the symmetry: No. 147. For the density of states at the Fermi level, the calculation gives 19.566 states/eV per cell. Its formation energy is 0.14 eV/atom. The calculation puts the mass density at 4.338 Mg/m³.

---

# 6
# CaO

Crystalline CaO at its relaxed geometry (PBE, Alexandria via LeMat-Bulk). Values from VASP.

Cell and atoms, written as Quantum ESPRESSO input:
```
&SYSTEM
  ibrav = 0, nat = 16, ntyp = 2
/
ATOMIC_SPECIES
O 16.00 O.upf
Ca 40.08 Ca.upf
CELL_PARAMETERS angstrom
7.144 0.000 0.000
0.000 7.144 0.000
0.000 0.000 7.144
ATOMIC_POSITIONS crystal
O 0.341 0.659 0.341
O 0.159 0.841 0.841
Ca 0.838 0.838 0.838
O 0.659 0.341 0.341
Ca 0.338 0.662 0.662
O 0.659 0.659 0.659
O 0.159 0.159 0.159
Ca 0.662 0.338 0.662
O 0.841 0.159 0.841
Ca 0.662 0.662 0.338
Ca 0.838 0.162 0.162
Ca 0.162 0.162 0.838
O 0.341 0.341 0.659
O 0.841 0.841 0.159
Ca 0.162 0.838 0.162
Ca 0.338 0.338 0.338
```

Output
As for the symmetry: No. 217. For the density of states at the Fermi level, the calculation gives 0.000 states/eV per cell. For the uncorrected formation energy, the calculation gives -2.7042 eV/atom. The calculation puts the mass density at 2.043 Mg/m³.

---

# 7
# GdTaFe4

Crystalline GdTaFe4 at its relaxed geometry (PBE, Alexandria via LeMat-Bulk). Values from VASP.

Cell and atoms, written as Quantum ESPRESSO input:
```
&SYSTEM
  ibrav = 0, nat = 6, ntyp = 3
/
ATOMIC_SPECIES
Fe 55.84 Fe.upf
Ta 180.95 Ta.upf
Gd 157.25 Gd.upf
CELL_PARAMETERS angstrom
4.995 0.000 0.000
2.497 4.326 0.000
2.497 1.442 4.078
ATOMIC_POSITIONS crystal
Fe 0.624 0.624 0.624
Fe 0.624 0.624 0.127
Fe 0.127 0.624 0.624
Ta 0.250 0.250 0.250
Gd 0.000 0.000 0.000
Fe 0.624 0.127 0.624
```

Output
As for the symmetry: No. 216. For the density of states at the Fermi level, the calculation gives 3.684 states/eV per cell. Its formation energy is 0.01 eV/atom. The calculation puts the mass density at 10.582 Mg/m³.

---

# 8
# AlAg2Br5

Crystalline AlAg2Br5 at its relaxed geometry (PBE, Alexandria via LeMat-Bulk). Values from VASP.

Cell and atoms, written as Quantum ESPRESSO input:
```
&SYSTEM
  ibrav = 0, nat = 16, ntyp = 3
/
ATOMIC_SPECIES
Br 79.90 Br.upf
Ag 107.87 Ag.upf
Al 26.98 Al.upf
CELL_PARAMETERS angstrom
5.596 0.000 0.000
-2.798 7.045 0.000
0.000 0.000 12.805
ATOMIC_POSITIONS crystal
Br 0.284 0.568 0.750
Ag 0.197 0.394 0.554
Al 0.204 0.408 0.250
Br 0.335 0.669 0.115
Br 0.083 0.165 0.384
Br 0.716 0.432 0.250
Br 0.335 0.669 0.385
Ag 0.803 0.606 0.054
Br 0.917 0.835 0.884
Ag 0.803 0.606 0.446
Al 0.796 0.592 0.750
Br 0.083 0.165 0.116
Ag 0.197 0.394 0.946
Br 0.665 0.331 0.615
Br 0.665 0.331 0.885
Br 0.917 0.835 0.616
```

Output
As for the excess energy over the best structure of this formula in the dataset: 0.0517 eV/atom. As for the symmetry: No. 63. For the density of states at the Fermi level, the calculation gives 0.000 states/eV per cell. For the uncorrected formation energy, the calculation gives -0.6272 eV/atom. The calculation puts the mass density at 4.225 Mg/m³.

---

# 9
# CaMoRh

Crystalline CaMoRh at its relaxed geometry (PBE, Alexandria via LeMat-Bulk). Values from VASP.

Cell and atoms, written as Quantum ESPRESSO input:
```
&SYSTEM
  ibrav = 0, nat = 3, ntyp = 3
/
ATOMIC_SPECIES
Ca 40.08 Ca.upf
Rh 102.91 Rh.upf
Mo 95.94 Mo.upf
CELL_PARAMETERS angstrom
-4.720 2.000 3.748
-6.276 0.910 -0.340
5.153 -3.571 -1.009
ATOMIC_POSITIONS crystal
Ca 0.002 0.002 0.000
Rh 0.698 0.698 0.000
Mo 0.300 0.300 0.000
```

Output
As for the excess energy over the best structure of this formula in the dataset: 0.0000 eV/atom. As for the symmetry: No. 107. For the density of states at the Fermi level, the calculation gives 3.805 states/eV per cell. Its formation energy is 0.18 eV/atom. The calculation puts the mass density at 6.580 Mg/m³.

---

# 10
# Al2AsSe

Crystalline Al2AsSe at its relaxed geometry (PBE, Alexandria via LeMat-Bulk). Values from VASP.

Cell and atoms, written as Quantum ESPRESSO input:
```
&SYSTEM
  ibrav = 0, nat = 4, ntyp = 3
/
ATOMIC_SPECIES
As 74.92 As.upf
Al 26.98 Al.upf
Se 78.96 Se.upf
CELL_PARAMETERS angstrom
-3.727 -0.607 -2.843
2.452 -3.139 -2.545
-1.083 -2.415 1.936
ATOMIC_POSITIONS crystal
As 0.500 0.000 0.500
Al 0.500 0.500 0.000
Al 0.000 0.000 0.000
Se 0.000 0.500 0.500
```

Output
As for the excess energy over the best structure of this formula in the dataset: 0.4459 eV/atom. As for the symmetry: No. 123. For the density of states at the Fermi level, the calculation gives 1.743 states/eV per cell. For the uncorrected formation energy, the calculation gives 0.0417 eV/atom. The calculation puts the mass density at 4.710 Mg/m³.

---

# 11
# Ce7Tl2Os2

Crystalline Ce7Tl2Os2 at its relaxed geometry (PBE, Alexandria via LeMat-Bulk). Values from VASP.

Cell and atoms, written as Quantum ESPRESSO input:
```
&SYSTEM
  ibrav = 0, nat = 11, ntyp = 3
/
ATOMIC_SPECIES
Os 190.23 Os.upf
Ce 140.12 Ce.upf
Tl 204.38 Tl.upf
CELL_PARAMETERS angstrom
-6.292 -2.056 -1.090
0.287 -3.939 5.771
-2.231 4.045 5.250
ATOMIC_POSITIONS crystal
Os 0.000 0.291 0.291
Ce 0.264 0.500 0.000
Ce 0.264 0.000 0.500
Ce 0.736 0.000 0.500
Ce 0.267 0.500 0.500
Ce 0.736 0.500 0.000
Os 0.000 0.709 0.709
Tl 0.500 0.168 0.832
Ce 0.733 0.500 0.500
Ce 0.000 0.000 0.000
Tl 0.500 0.832 0.168
```

Output
As for the symmetry: No. 65. For the density of states at the Fermi level, the calculation gives 31.999 states/eV per cell. Its formation energy is -0.07 eV/atom. The calculation puts the mass density at 9.334 Mg/m³.

---

# 12
# La3Pm2Pr6

Crystalline La3Pm2Pr6 at its relaxed geometry (PBE, Alexandria via LeMat-Bulk). Values from VASP.

Cell and atoms, written as Quantum ESPRESSO input:
```
&SYSTEM
  ibrav = 0, nat = 11, ntyp = 3
/
ATOMIC_SPECIES
Pr 140.91 Pr.upf
Pm 145.00 Pm.upf
La 138.91 La.upf
CELL_PARAMETERS angstrom
-4.699 -2.584 -3.544
0.596 -6.150 1.740
-11.251 -7.570 4.866
ATOMIC_POSITIONS crystal
Pr 0.817 0.726 0.546
Pr 0.183 0.274 0.454
Pm 0.638 0.456 0.090
Pr 0.725 0.089 0.819
Pr 0.275 0.911 0.181
La 0.547 0.819 0.363
Pm 0.362 0.544 0.910
Pr 0.089 0.634 0.729
Pr 0.911 0.366 0.271
La 0.000 0.000 0.000
La 0.453 0.181 0.637
```

Output
As for the excess energy over the best structure of this formula in the dataset: 0.0000 eV/atom. As for the symmetry: No. 2. For the density of states at the Fermi level, the calculation gives 20.239 states/eV per cell. Its formation energy is 0.01 eV/atom. The calculation puts the mass density at 6.476 Mg/m³.